[1]
The following is a PBE calculation of a relaxed Ba3Sr4Ag crystal, from Alexandria.

Calculated formation energy in eV per atom: -0.048
N(E_F) in states/eV per atom: 1.14
Total magnetization in μB/f.u.: 0.00
Space-group type: P4/mmm

Geometry as POSCAR:
```
Ba3Sr4Ag
1.0
4.186 0.000 0.000
0.000 4.186 0.000
0.000 0.000 23.450
Ba Sr Ag
3 4 1
direct
0.000 0.000 0.000
0.000 0.000 0.281
0.000 0.000 0.719
0.500 0.500 0.141
0.500 0.500 0.421
0.500 0.500 0.579
0.500 0.500 0.859
0.000 0.000 0.500
```

=====

[2]
The following is a PBE calculation of a relaxed LiZnCdPt crystal, from Alexandria.

Calculated formation energy in eV per atom: -0.352
N(E_F) in states/eV per atom: 0.36
Total magnetization in μB/f.u.: 0.00
Space-group type: Cm

Geometry as POSCAR:
```
LiZnCdPt
1.0
4.856 -1.491 0.000
4.856 1.491 0.000
-1.844 0.000 4.477
Li Zn Cd Pt
1 1 1 1
direct
0.000 0.000 0.000
0.523 0.523 0.552
0.766 0.766 0.171
0.260 0.260 0.660
```

=====

Question: N(E_F) of number 2 (LiZnCdPt)?
Answer: 0.36 states/eV per atom